Zr2TaAg after structural relaxation, computed with GGA-PBE.

Results
Its crystal system is tetragonal. For the energy relative to the lowest polymorph listed for this composition, the calculation gives 0.539 eV/f.u. The value obtained for the mass density is 9660 kg/m3. The density of states at the Fermi level is 3.0 states/eV/f.u. For the formation energy, the calculation gives 0.136 eV per atom.

a = 4.219 Å, b = 4.219 Å, c = 9.103 Å
α = 90.00°, β = 90.00°, γ = 90.00°
Positions (direct):
Zr1 0.000 0.000 0.000
Zr2 0.000 0.500 0.250
Zr3 0.500 0.000 0.750
Zr4 0.500 0.500 0.500
Ta1 0.000 0.000 0.500
Ta2 0.500 0.500 0.000
Ag1 0.000 0.500 0.750
Ag2 0.500 0.000 0.250